The following is a PBE calculation of an optimized crystal structure of TbAlGa3, from Alexandria via LeMat-Bulk.

Output
calculated density: 6.5 g/cm3
N(E_F): 0.446 states/eV/atom
energy relative to the elements: -0.248 eV per atom

Lattice parameters (Å, degrees): 5.6158 3.0257 11.9598 90.00 90.00 90.00
Closest atoms and distances in Å follow each position.
Space group Pmma (No. 51)
One atom of each set of equivalent atoms:
Tb 0.2500 0.0000 0.1958 [2 per cell]  2 Tb 3.03, 8 Ga 3.12-3.13, 4 Al 3.19
Al 0.2500 0.5000 0.7985 [2 per cell]  4 Ga 2.72-2.79, 2 Al 3.03
Ga 0.0000 0.5000 0.0000 [2 per cell]  2 Al 2.79, 4 Ga 2.81-3.03, 4 Tb 3.12
Ga 0.0074 0.5000 0.3945 [4 per cell]  2 Ga 2.53-2.72, 1 Al 2.72